A geometry-optimized Tb2Cu4SiGe3 structure. Source: the Alexandria database, functional PBE.

The volume is 16.85 Å³/atom. As for the total energy: -4.982 eV/atom. The formation energy without anion corrections is -0.4901 eV/atom.

It has space group P-4m2 (No. 115), with a = 4.093 Å, b = 4.093 Å, c = 10.058 Å, α = 90.00°, β = 90.00° and γ = 90.00°. The inequivalent atoms are Tb at (0.000, 0.500, 0.250), Cu at (0.000, 0.000, 0.000), Cu at (0.000, 0.500, 0.630), Cu at (0.500, 0.500, 0.000), Si at (0.000, 0.000, 0.500), Ge at (0.000, 0.500, 0.866) and Ge at (0.500, 0.500, 0.500).